1.
This record from Alexandria via LeMat-Bulk describes LaFe2AsPt after structural relaxation. The functional is PBE-GGA.

Results
V, Å³/f.u.: 111.5
SG: P4/mmm, No. 123
Formation energy from the elements, eV/atom: 0.184

abc: 4.801 4.801 4.839
angles: 90.00 90.00 90.00
Positions (direct):
La: 0.000 0.000 0.000
Fe: 0.000 0.500 0.500
Fe: 0.500 0.000 0.500
As: 0.500 0.500 0.000
Pt: 0.500 0.500 0.500


2.
This record from Alexandria via LeMat-Bulk describes Rb2LiMgAs2 after structural relaxation. The functional is PBE-GGA.

Results
V, Å³/f.u.: 176.2
SG: Ibam, No. 72
Formation energy from the elements, eV/atom: -0.517

abc: 9.282 9.282 9.282
angles: 138.13 60.71 138.11
Positions (direct):
Rb: 0.173 0.236 0.409
Rb: 0.327 0.736 0.064
Rb: 0.673 0.264 0.936
Rb: 0.827 0.764 0.591
Li: 0.250 0.250 0.000
Li: 0.750 0.750 0.000
Mg: 0.250 0.750 0.500
Mg: 0.750 0.250 0.500
As: 0.088 0.745 0.833
As: 0.412 0.245 0.657
As: 0.588 0.755 0.343
As: 0.912 0.255 0.167


3.
This record from Alexandria via LeMat-Bulk describes LuBiRh after structural relaxation. The functional is PBE-GGA.

Results
V, Å³/f.u.: 68.2
SG: I4mm, No. 107
Formation energy from the elements, eV/atom: -0.464

abc: 5.566 5.566 5.566
angles: 140.86 140.86 56.55
Positions (direct):
Lu: 0.000 0.000 0.000
Bi: 0.691 0.691 0.000
Rh: 0.388 0.388 0.000


4.
This record from Alexandria via LeMat-Bulk describes TmSc2Ga9 after structural relaxation. The functional is PBE-GGA.

Results
V, Å³/f.u.: 215.3
SG: P4/mmm, No. 123
Formation energy from the elements, eV/atom: -0.508

abc: 4.156 4.156 12.466
angles: 90.00 90.00 90.00
Positions (direct):
Tm: 0.000 0.000 0.000
Sc: 0.000 0.000 0.336
Sc: 0.000 0.000 0.664
Ga: 0.000 0.500 0.172
Ga: 0.000 0.500 0.500
Ga: 0.000 0.500 0.828
Ga: 0.500 0.000 0.172
Ga: 0.500 0.000 0.500
Ga: 0.500 0.000 0.828
Ga: 0.500 0.500 0.000
Ga: 0.500 0.500 0.335
Ga: 0.500 0.500 0.665


5.
This record from Alexandria via LeMat-Bulk describes CdTe2 after structural relaxation. The functional is PBE-GGA.

Results
V, Å³/f.u.: 103.6
Formation energy from raw total energies, eV/f.u.: -0.20
SG: P-6m2, No. 187

abc: 4.322 4.322 6.404
angles: 90.00 90.00 120.00
Positions (direct):
Cd: 0.000 0.000 0.000
Te: 0.667 0.333 0.264
Te: 0.667 0.333 0.736


6.
This record from Alexandria via LeMat-Bulk describes Sr3Li2In3 after structural relaxation. The functional is PBE-GGA.

Results
V, Å³/f.u.: 248.9
SG: Pnma, No. 62
Formation energy from the elements, eV/atom: -0.310

abc: 8.586 17.862 6.492
angles: 90.00 90.00 90.00
Positions (direct):
Sr: 0.028 0.107 0.130
Sr: 0.028 0.393 0.130
Sr: 0.172 0.250 0.609
Sr: 0.328 0.750 0.109
Sr: 0.472 0.607 0.630
Sr: 0.472 0.893 0.630
Sr: 0.528 0.107 0.370
Sr: 0.528 0.393 0.370
Sr: 0.672 0.250 0.891
Sr: 0.828 0.750 0.391
Sr: 0.972 0.607 0.870
Sr: 0.972 0.893 0.870
Li: 0.128 0.606 0.378
Li: 0.128 0.894 0.378
Li: 0.372 0.106 0.878
Li: 0.372 0.394 0.878
Li: 0.628 0.606 0.122
Li: 0.628 0.894 0.122
Li: 0.872 0.106 0.622
Li: 0.872 0.394 0.622
In: 0.172 0.036 0.593
In: 0.172 0.464 0.593
In: 0.186 0.750 0.609
In: 0.314 0.250 0.109
In: 0.328 0.536 0.093
In: 0.328 0.964 0.093
In: 0.672 0.036 0.907
In: 0.672 0.464 0.907
In: 0.686 0.750 0.891
In: 0.814 0.250 0.391
In: 0.828 0.536 0.407
In: 0.828 0.964 0.407


7.
This record from Alexandria via LeMat-Bulk describes RbNa2InBi2 after structural relaxation. The functional is PBE-GGA.

Results
V, Å³/f.u.: 209.9
SG: Pmc2_1, No. 26
Formation energy from the elements, eV/atom: -0.287

abc: 5.111 9.235 8.893
angles: 90.00 90.00 90.00
Positions (direct):
Rb: 0.000 0.079 0.000
Rb: 0.000 0.921 0.500
Na: 0.000 0.322 0.362
Na: 0.000 0.678 0.862
Na: 0.500 0.431 0.037
Na: 0.500 0.569 0.537
In: 0.500 0.177 0.647
In: 0.500 0.823 0.147
Bi: 0.000 0.360 0.718
Bi: 0.000 0.640 0.218
Bi: 0.500 0.132 0.294
Bi: 0.500 0.868 0.794


8.
This record from Alexandria via LeMat-Bulk describes PrAl4Ag6 after structural relaxation. The functional is PBE-GGA.

Results
V, Å³/f.u.: 209.0
SG: P-6m2, No. 187
Formation energy from the elements, eV/atom: -0.201

abc: 7.456 7.456 4.342
angles: 90.00 90.00 120.00
Positions (direct):
Pr: 0.000 0.000 0.000
Al: 0.333 0.667 0.000
Al: 0.402 0.201 0.500
Al: 0.799 0.201 0.500
Al: 0.799 0.598 0.500
Ag: 0.202 0.405 0.500
Ag: 0.202 0.798 0.500
Ag: 0.535 0.071 0.000
Ag: 0.535 0.465 0.000
Ag: 0.595 0.798 0.500
Ag: 0.929 0.465 0.000


Question: Which of these has the highest V?
Answer: Sr3Li2In3


Question: V of number 3 (LuBiRh)?
Answer: 68.2 Å³/f.u.